Entry 1:
Below is an optimized crystal structure of CdHg2, with properties calculated at the GGA-PBEsol level.

The structure belongs to space group Pa-3 (No. 205); the cell edges are 6.847, 6.847 and 6.847 Å and the angles 90.00°, 90.00° and 90.00°. The distinct sites, in fractional coordinates, are Cd at (0.000, 0.000, 0.000) and Hg at (0.126, 0.626, 0.874).

For the formation energy, the calculation gives 96 meV per atom. For the magnetization, the calculation gives 0.0 μB per cell. The raw total energy is -0.68 eV/atom.

***

Entry 2:
Below is an optimized crystal structure of KBe3Br, with properties calculated at the GGA-PBEsol level.

The structure belongs to space group Pm-3m (No. 221); the cell edges are 4.913, 4.913 and 4.913 Å and the angles 90.00°, 90.00° and 90.00°. The distinct sites, in fractional coordinates, are K at (0.000, 0.000, 0.000), Be at (0.000, 0.500, 0.500) and Br at (0.500, 0.500, 0.500).

The value obtained for the uncorrected formation energy is 1439 meV per atom. For the magnetization, the calculation gives 0.0 μB per cell. The raw total energy is -1.56 eV/atom.

***

Entry 3:
Below is an optimized crystal structure of SrLiTa, with properties calculated at the GGA-PBEsol level.

The structure belongs to space group F-43m (No. 216); the cell edges are 7.314, 7.314 and 7.314 Å and the angles 90.00°, 90.00° and 90.00°. The distinct sites, in fractional coordinates, are Sr at (0.000, 0.000, 0.000), Li at (0.000, 0.000, 0.500) and Ta at (0.250, 0.250, 0.250).

For the formation energy, the calculation gives 1787 meV per atom. For the magnetization, the calculation gives 14.7 μB per cell. The raw total energy is -3.67 eV/atom.

***

Entry 4:
Below is an optimized crystal structure of Cd2SnPd2, with properties calculated at the GGA-PBEsol level.

The structure belongs to space group P4/mbm (No. 127); the cell edges are 7.038, 7.038 and 3.741 Å and the angles 90.00°, 90.00° and 90.00°. The distinct sites, in fractional coordinates, are Cd at (0.151, 0.349, 0.000), Sn at (0.000, 0.000, 0.500) and Pd at (0.147, 0.647, 0.500).

For the formation energy, the calculation gives -345 meV per atom. For the magnetization, the calculation gives 0.0 μB per cell. The raw total energy is -4.06 eV/atom.

***

Entry 5:
Below is an optimized crystal structure of CuNi2W, with properties calculated at the GGA-PBEsol level.

The structure belongs to space group P4/mmm (No. 123); the cell edges are 2.645, 2.645 and 6.772 Å and the angles 90.00°, 90.00° and 90.00°. The distinct sites, in fractional coordinates, are Cu at (0.000, 0.000, 0.000), Ni at (0.500, 0.500, 0.237) and W at (0.000, 0.000, 0.500).

For the formation energy, the calculation gives -6 meV per atom. For the magnetization, the calculation gives 0.0 μB per cell. The raw total energy is -7.62 eV/atom.

***

Entry 6:
Below is an optimized crystal structure of Zn2InCl, with properties calculated at the GGA-PBEsol level.

The structure belongs to space group P4mm (No. 99); the cell edges are 3.297, 3.297 and 7.197 Å and the angles 90.00°, 90.00° and 90.00°. The distinct sites, in fractional coordinates, are Zn at (0.000, 0.000, 0.000), Zn at (0.500, 0.500, 0.185), In at (0.500, 0.500, 0.744) and Cl at (0.000, 0.000, 0.412).

The value obtained for the uncorrected formation energy is -111 meV per atom. For the magnetization, the calculation gives 0.0 μB per cell. The raw total energy is -2.15 eV/atom.

***

Entry 7:
Below is an optimized crystal structure of BaCuAg, with properties calculated at the GGA-PBEsol level.

The structure belongs to space group P-6m2 (No. 187); the cell edges are 4.5511, 4.5511 and 4.3781 Å and the angles 90.00°, 90.00° and 120.00°. The distinct sites, in fractional coordinates, are Ba at (0.0000, 0.0000, 0.0000), Cu at (0.3333, 0.6667, 0.5000) and Ag at (0.6667, 0.3333, 0.5000).

For the formation energy, the calculation gives -71 meV per atom. For the magnetization, the calculation gives 0.0 μB per cell. The raw total energy is -3.34 eV/atom.

***

Entry 8:
Below is an optimized crystal structure of Li3SbCl, with properties calculated at the GGA-PBEsol level.

The structure belongs to space group Pm-3m (No. 221); the cell edges are 4.587, 4.587 and 4.587 Å and the angles 90.00°, 90.00° and 90.00°. The distinct sites, in fractional coordinates, are Li at (0.000, 0.000, 0.500), Sb at (0.500, 0.500, 0.500) and Cl at (0.000, 0.000, 0.000).

The value obtained for the uncorrected formation energy is -848 meV per atom. For the magnetization, the calculation gives 0.0 μB per cell. The raw total energy is -3.34 eV/atom.

***

Entry 9:
Below is an optimized crystal structure of Re2TeRuC, with properties calculated at the GGA-PBEsol level.

The structure belongs to space group P4/mmm (No. 123); the cell edges are 4.849, 4.849 and 3.976 Å and the angles 90.00°, 90.00° and 90.00°. The distinct sites, in fractional coordinates, are Re at (0.000, 0.500, 0.000), Te at (0.000, 0.000, 0.000), Ru at (0.500, 0.500, 0.500) and C at (0.000, 0.000, 0.500).

The value obtained for the uncorrected formation energy is 3262 meV per atom. For the magnetization, the calculation gives 2.5 μB per cell. The raw total energy is -6.74 eV/atom.

***

Entry 10:
Below is an optimized crystal structure of CsDySiS4, with properties calculated at the GGA-PBEsol level.

The structure belongs to space group P2_12_12_1 (No. 19); the cell edges are 6.286, 6.589 and 17.521 Å and the angles 90.00°, 90.00° and 90.00°. The distinct sites, in fractional coordinates, are Cs at (0.013, 0.008, 0.468), Dy at (0.207, 0.020, 0.728), Si at (0.209, 0.517, 0.332), S at (0.058, 0.013, 0.095), S at (0.064, 0.249, 0.853), S at (0.103, 0.751, 0.845) and S at (0.107, 0.576, 0.219).

The value obtained for the uncorrected formation energy is -1480 meV per atom. For the magnetization, the calculation gives 0.0 μB per cell. The raw total energy is -5.65 eV/atom.

***

Entry 11:
Below is an optimized crystal structure of RbBaPb3, with properties calculated at the GGA-PBEsol level.

The structure belongs to space group Pm-3m (No. 221); the cell edges are 6.316, 6.316 and 6.316 Å and the angles 90.00°, 90.00° and 90.00°. The distinct sites, in fractional coordinates, are Rb at (0.000, 0.000, 0.000), Ba at (0.500, 0.500, 0.500) and Pb at (0.000, 0.500, 0.500).

For the formation energy, the calculation gives 479 meV per atom. For the magnetization, the calculation gives 0.0 μB per cell. The raw total energy is -2.55 eV/atom.

***

Entry 12:
Below is an optimized crystal structure of K2IrRh, with properties calculated at the GGA-PBEsol level.

The structure belongs to space group R-3m (No. 166, hexagonal axes); the cell edges are 2.8034, 2.8034 and 32.6884 Å and the angles 90.00°, 90.00° and 120.00°. The distinct sites, in fractional coordinates, are K at (0.0000, 0.0000, 0.2495), Ir at (0.0000, 0.0000, 0.0000) and Rh at (0.0000, 0.0000, 0.5000).

For the formation energy, the calculation gives 847 meV per atom. For the magnetization, the calculation gives 0.0 μB per cell. The raw total energy is -4.21 eV/atom.

***

Entry 13:
Below is an optimized crystal structure of LiAg2F4, with properties calculated at the GGA-PBEsol level.

The structure belongs to space group P2_1/m (No. 11); the cell edges are 3.202, 10.400 and 5.563 Å and the angles 90.00°, 93.37° and 90.00°. The distinct sites, in fractional coordinates, are Li at (0.133, 0.250, 0.298), Ag at (0.355, 0.582, 0.232), F at (0.000, 0.000, 0.500), F at (0.250, 0.119, 0.069) and F at (0.368, 0.750, 0.494).

The value obtained for the uncorrected formation energy is -1537 meV per atom. For the magnetization, the calculation gives 1.8 μB per cell. The raw total energy is -3.87 eV/atom.

***

Entry 14:
Below is an optimized crystal structure of Ta3SiHg, with properties calculated at the GGA-PBEsol level.

The structure belongs to space group Pm-3m (No. 221); the cell edges are 4.936, 4.936 and 4.936 Å and the angles 90.00°, 90.00° and 90.00°. The distinct sites, in fractional coordinates, are Ta at (0.000, 0.000, 0.500), Si at (0.500, 0.500, 0.500) and Hg at (0.000, 0.000, 0.000).

The value obtained for the uncorrected formation energy is 2330 meV per atom. For the magnetization, the calculation gives 0.0 μB per cell. The raw total energy is -6.46 eV/atom.

***

Entry 15:
Below is an optimized crystal structure of KMo2Au, with properties calculated at the GGA-PBEsol level.

The structure belongs to space group Fm-3m (No. 225); the cell edges are 6.510, 6.510 and 6.510 Å and the angles 90.00°, 90.00° and 90.00°. The distinct sites, in fractional coordinates, are K at (0.000, 0.000, 0.000), Mo at (0.250, 0.250, 0.250) and Au at (0.000, 0.000, 0.500).

For the formation energy, the calculation gives 1623 meV per atom. For the magnetization, the calculation gives 0.0 μB per cell. The raw total energy is -5.53 eV/atom.

***

Entry 16:
Below is an optimized crystal structure of CdRu2Br, with properties calculated at the GGA-PBEsol level.

The structure belongs to space group Cmmm (No. 65); the cell edges are 2.884, 5.082 and 8.904 Å and the angles 90.00°, 90.00° and 90.00°. The distinct sites, in fractional coordinates, are Cd at (0.000, 0.000, 0.000), Ru at (0.000, 0.500, 0.263) and Br at (0.000, 0.000, 0.500).

The value obtained for the uncorrected formation energy is 830 meV per atom. For the magnetization, the calculation gives 0.0 μB per cell. The raw total energy is -5.02 eV/atom.

***

Entry 17:
Below is an optimized crystal structure of Rb2CaCu, with properties calculated at the GGA-PBEsol level.

The structure belongs to space group Fm-3m (No. 225); the cell edges are 8.920, 8.920 and 8.920 Å and the angles 90.00°, 90.00° and 90.00°. The distinct sites, in fractional coordinates, are Rb at (0.250, 0.250, 0.250), Ca at (0.000, 0.000, 0.000) and Cu at (0.000, 0.000, 0.500).

For the formation energy, the calculation gives 628 meV per atom. For the magnetization, the calculation gives 0.0 μB per cell. The raw total energy is -1.50 eV/atom.

***

Entry 18:
Below is an optimized crystal structure of MgMo2Cl, with properties calculated at the GGA-PBEsol level.

The structure belongs to space group Cmm2 (No. 35); the cell edges are 3.205, 4.997 and 8.573 Å and the angles 90.00°, 90.00° and 90.00°. The distinct sites, in fractional coordinates, are Mg at (0.000, 0.000, 0.000), Mo at (0.000, 0.000, 0.510), Mo at (0.000, 0.500, 0.725) and Cl at (0.000, 0.500, 0.217).

The value obtained for the uncorrected formation energy is 43 meV per atom. For the magnetization, the calculation gives 0.0 μB per cell. The raw total energy is -6.77 eV/atom.

***

Entry 19:
Below is an optimized crystal structure of CoCuRu, with properties calculated at the GGA-PBEsol level.

The structure belongs to space group F-43m (No. 216); the cell edges are 5.403, 5.403 and 5.403 Å and the angles 90.00°, 90.00° and 90.00°. The distinct sites, in fractional coordinates, are Co at (0.000, 0.000, 0.000), Cu at (0.250, 0.250, 0.750) and Ru at (0.250, 0.250, 0.250).

For the formation energy, the calculation gives 592 meV per atom. For the magnetization, the calculation gives 0.0 μB per cell. The raw total energy is -6.82 eV/atom.

***

Entry 20:
Below is an optimized crystal structure of MgCd2, with properties calculated at the GGA-PBEsol level.

The structure belongs to space group Pnma (No. 62); the cell edges are 6.281, 4.413 and 8.990 Å and the angles 90.00°, 90.00° and 90.00°. The distinct sites, in fractional coordinates, are Mg at (0.131, 0.250, 0.090), Cd at (0.120, 0.250, 0.754) and Cd at (0.133, 0.250, 0.422).

For the formation energy, the calculation gives -85 meV per atom. For the magnetization, the calculation gives 0.0 μB per cell. The raw total energy is -1.46 eV/atom.